# 1
## Li3Pa2Se6 (PBE-GGA)

Data for a geometry-optimized Li3Pa2Se6 structure.

Results
Its uncorrected formation energy is -128 kJ per mole of atoms.

Unit cell a=7.1467 b=7.1324 c=6.8197 alpha=79.69 beta=69.06 gamma=59.93
Last column: magnetic moment on the atom in μB.
Fractional positions:
Li  0.6639  0.6721  0.0000  0.00
Li  0.0000  0.0000  0.0000  0.00
Li  0.3361  0.3279  0.0000  0.00
Se  0.2311  0.0000  0.2399  -0.02
Se  0.9387  0.6457  0.2504  -0.02
Se  0.4156  0.6457  0.7496  -0.02
Se  0.0613  0.3543  0.7496  -0.02
Se  0.5844  0.3543  0.2504  -0.02
Se  0.7689  0.0000  0.7601  -0.02
Pa  0.1662  0.6676  0.5000  0.56
Pa  0.8338  0.3324  0.5000  0.56


# 2
## Tb3Nd4Ga4 (PBE-GGA)

Data for a geometry-optimized Tb3Nd4Ga4 structure.

Results
The calculation puts the energy of formation from the pure elements at -0.410 eV/atom.

Unit cell a=3.5790 b=9.1150 c=10.4502 alpha=115.86 beta=99.86 gamma=90.00
Fractional positions:
Tb  0.0929  0.0929  0.1858
Tb  0.9071  0.9071  0.8142
Tb  0.0000  0.5000  0.0000
Ga  0.5000  0.2236  0.0000
Ga  0.2779  0.7779  0.5557
Ga  0.7221  0.2221  0.4443
Ga  0.5000  0.7764  0.0000
Nd  0.6663  0.4898  0.3326
Nd  0.6663  0.8429  0.3326
Nd  0.3337  0.5102  0.6674
Nd  0.3337  0.1571  0.6674


# 3
## Cs2KInHg (PBE-GGA)

Data for a geometry-optimized Cs2KInHg structure.

Results
The calculation puts the energy of formation from the pure elements at -0.010 eV/atom.

Unit cell a=7.4390 b=7.4390 c=5.7017 alpha=90.00 beta=90.00 gamma=90.00
Fractional positions:
K  0.5000  0.5000  0.5000
Hg  0.0000  0.0000  0.0000
Cs  0.0000  0.5000  0.0000
Cs  0.5000  0.0000  0.0000
In  0.0000  0.0000  0.5000


# 4
## MgMnTe2N (PBE-GGA)

Data for a geometry-optimized MgMnTe2N structure.

Results
Its uncorrected formation energy is -3 kJ per mole of atoms. The energy relative to the lowest polymorph listed for this composition is 0 meV/atom.

Unit cell a=5.4407 b=5.4407 c=3.5030 alpha=90.00 beta=90.00 gamma=90.00
Last column: magnetic moment on the atom in μB.
Fractional positions:
Mn  0.0000  0.0000  0.0000  1.83
Te  0.0000  0.5000  0.0000  -0.06
Te  0.5000  0.0000  0.0000  -0.06
Mg  0.5000  0.5000  0.5000  0.00
N  0.0000  0.0000  0.5000  -0.23